# MoPt | the Alexandria database | SCAN | single point on PBEsol structure
# N(E_F) in states/eV/atom: 0.6725
# Space-group type: Amm2
# Uncorrected energy in Ry per atom: -3.8823
# Energy relative to the elements in eV per atom: -0.282
# Crystal system: orthorhombic
# Theoretical density in g/cm3: 16.20
data_MoPt
_cell_length_a 4.448
_cell_length_b 5.552
_cell_length_c 5.552
_cell_angle_alpha 60.51
_cell_angle_beta 90.00
_cell_angle_gamma 90.00
_symmetry_space_group_name_H-M 'P 1'
_symmetry_Int_Tables_number 1
_symmetry_space_group_name_Hall 'P 1'
loop_
_atom_site_label
_atom_site_type_symbol
_atom_site_fract_x
_atom_site_fract_y
_atom_site_fract_z
_atom_site_occupancy
Mo1 Mo 0.000 0.000 0.000 1
Mo2 Mo 0.000 0.512 0.997 1
Mo3 Mo 0.000 0.997 0.512 1
Mo4 Mo 0.500 0.669 0.669 1
Pt1 Pt 0.000 0.500 0.500 1
Pt2 Pt 0.500 0.167 0.167 1
Pt3 Pt 0.500 0.170 0.665 1
Pt4 Pt 0.500 0.665 0.170 1

# MoPt | the Alexandria database | SCAN | single point on PBEsol structure
# N(E_F) in states/eV/atom: 0.4988
# Space-group type: C2/m
# Uncorrected energy in Ry per atom: -3.8839
# Energy relative to the elements in eV per atom: -0.304
# Crystal system: monoclinic
# Theoretical density in g/cm3: 16.20
data_MoPt
_cell_length_a 5.267
_cell_length_b 5.267
_cell_length_c 4.881
_cell_angle_alpha 116.91
_cell_angle_beta 116.91
_cell_angle_gamma 29.92
_symmetry_space_group_name_H-M 'P 1'
_symmetry_Int_Tables_number 1
_symmetry_space_group_name_Hall 'P 1'
loop_
_atom_site_label
_atom_site_type_symbol
_atom_site_fract_x
_atom_site_fract_y
_atom_site_fract_z
_atom_site_occupancy
Mo1 Mo 0.124 0.124 0.284 1
Mo2 Mo 0.876 0.876 0.716 1
Pt1 Pt 0.379 0.379 0.209 1
Pt2 Pt 0.621 0.621 0.791 1

# MoPt5 | the Alexandria database | SCAN | single point on PBEsol structure
# N(E_F) in states/eV/atom: 1.0804
# Energy above the most stable polymorph in this dataset in eV per atom: 0.000
# Space-group type: Cmmm
# Uncorrected energy in Ry per atom: -4.7420
# Energy relative to the elements in eV per atom: -0.210
# Crystal system: orthorhombic
# Theoretical density in g/cm3: 19.82
data_MoPt5
_cell_length_a 6.198
_cell_length_b 6.198
_cell_length_c 3.926
_cell_angle_alpha 90.00
_cell_angle_beta 90.00
_cell_angle_gamma 143.48
_symmetry_space_group_name_H-M 'P 1'
_symmetry_Int_Tables_number 1
_symmetry_space_group_name_Hall 'P 1'
loop_
_atom_site_label
_atom_site_type_symbol
_atom_site_fract_x
_atom_site_fract_y
_atom_site_fract_z
_atom_site_occupancy
Mo1 Mo 0.000 0.000 0.000 1
Pt1 Pt 0.164 0.836 0.500 1
Pt2 Pt 0.340 0.660 0.000 1
Pt3 Pt 0.500 0.500 0.500 1
Pt4 Pt 0.660 0.340 0.000 1
Pt5 Pt 0.836 0.164 0.500 1

# MoPt | the Alexandria database | SCAN | single point on PBEsol structure
# N(E_F) in states/eV/atom: 0.7350
# Space-group type: P4/mmm
# Uncorrected energy in Ry per atom: -3.8884
# Energy relative to the elements in eV per atom: -0.365
# Crystal system: tetragonal
# Theoretical density in g/cm3: 16.26
data_MoPt
_cell_length_a 2.698
_cell_length_b 2.698
_cell_length_c 4.082
_cell_angle_alpha 90.00
_cell_angle_beta 90.00
_cell_angle_gamma 90.00
_symmetry_space_group_name_H-M 'P 1'
_symmetry_Int_Tables_number 1
_symmetry_space_group_name_Hall 'P 1'
loop_
_atom_site_label
_atom_site_type_symbol
_atom_site_fract_x
_atom_site_fract_y
_atom_site_fract_z
_atom_site_occupancy
Mo1 Mo 0.000 0.000 0.000 1
Pt1 Pt 0.500 0.500 0.500 1

# Mo5Pt3 | the Alexandria database | SCAN | single point on PBEsol structure
# N(E_F) in states/eV/atom: 0.6146
# Space-group type: Cmmm
# Uncorrected energy in Ry per atom: -3.5573
# Energy relative to the elements in eV per atom: -0.274
# Crystal system: orthorhombic
# Theoretical density in g/cm3: 14.77
data_Mo5Pt3
_cell_length_a 5.571
_cell_length_b 5.571
_cell_length_c 3.859
_cell_angle_alpha 90.00
_cell_angle_beta 90.00
_cell_angle_gamma 91.46
_symmetry_space_group_name_H-M 'P 1'
_symmetry_Int_Tables_number 1
_symmetry_space_group_name_Hall 'P 1'
loop_
_atom_site_label
_atom_site_type_symbol
_atom_site_fract_x
_atom_site_fract_y
_atom_site_fract_z
_atom_site_occupancy
Mo1 Mo 0.000 0.000 0.000 1
Mo2 Mo 0.000 0.500 0.000 1
Mo3 Mo 0.249 0.751 0.500 1
Mo4 Mo 0.500 0.000 0.000 1
Mo5 Mo 0.751 0.249 0.500 1
Pt1 Pt 0.253 0.253 0.500 1
Pt2 Pt 0.500 0.500 0.000 1
Pt3 Pt 0.747 0.747 0.500 1

# MoPt5 | the Alexandria database | SCAN | single point on PBEsol structure
# N(E_F) in states/eV/atom: 1.1836
# Energy above the most stable polymorph in this dataset in eV per atom: 0.034
# Space-group type: P-62m
# Uncorrected energy in Ry per atom: -4.7395
# Energy relative to the elements in eV per atom: -0.176
# Crystal system: hexagonal
# Theoretical density in g/cm3: 19.82
data_MoPt5
_cell_length_a 4.780
_cell_length_b 4.780
_cell_length_c 4.536
_cell_angle_alpha 90.00
_cell_angle_beta 90.00
_cell_angle_gamma 120.00
_symmetry_space_group_name_H-M 'P 1'
_symmetry_Int_Tables_number 1
_symmetry_space_group_name_Hall 'P 1'
loop_
_atom_site_label
_atom_site_type_symbol
_atom_site_fract_x
_atom_site_fract_y
_atom_site_fract_z
_atom_site_occupancy
Mo1 Mo 0.000 0.000 0.000 1
Pt1 Pt 0.000 0.329 0.500 1
Pt2 Pt 0.329 0.000 0.500 1
Pt3 Pt 0.333 0.667 0.000 1
Pt4 Pt 0.667 0.333 0.000 1
Pt5 Pt 0.671 0.671 0.500 1

# MoPt5 | the Alexandria database | SCAN | single point on PBEsol structure
# N(E_F) in states/eV/atom: 0.9125
# Energy above the most stable polymorph in this dataset in eV per atom: 0.068
# Space-group type: Cm
# Uncorrected energy in Ry per atom: -4.7370
# Energy relative to the elements in eV per atom: -0.141
# Crystal system: monoclinic
# Theoretical density in g/cm3: 19.76
data_MoPt5
_cell_length_a 5.346
_cell_length_b 5.346
_cell_length_c 6.536
_cell_angle_alpha 105.07
_cell_angle_beta 105.07
_cell_angle_gamma 30.03
_symmetry_space_group_name_H-M 'P 1'
_symmetry_Int_Tables_number 1
_symmetry_space_group_name_Hall 'P 1'
loop_
_atom_site_label
_atom_site_type_symbol
_atom_site_fract_x
_atom_site_fract_y
_atom_site_fract_z
_atom_site_occupancy
Mo1 Mo 0.000 0.000 0.000 1
Pt1 Pt 0.051 0.051 0.613 1
Pt2 Pt 0.336 0.336 0.678 1
Pt3 Pt 0.391 0.391 0.269 1
Pt4 Pt 0.664 0.664 0.328 1
Pt5 Pt 0.716 0.716 0.942 1

# MoPt | the Alexandria database | SCAN | single point on PBEsol structure
# N(E_F) in states/eV/atom: 0.4773
# Space-group type: Pmma
# Uncorrected energy in Ry per atom: -3.8940
# Energy relative to the elements in eV per atom: -0.441
# Crystal system: orthorhombic
# Theoretical density in g/cm3: 16.30
data_MoPt
_cell_length_a 4.449
_cell_length_b 2.715
_cell_length_c 4.909
_cell_angle_alpha 90.00
_cell_angle_beta 90.00
_cell_angle_gamma 90.00
_symmetry_space_group_name_H-M 'P 1'
_symmetry_Int_Tables_number 1
_symmetry_space_group_name_Hall 'P 1'
loop_
_atom_site_label
_atom_site_type_symbol
_atom_site_fract_x
_atom_site_fract_y
_atom_site_fract_z
_atom_site_occupancy
Mo1 Mo 0.250 0.000 0.164 1
Mo2 Mo 0.750 0.000 0.836 1
Pt1 Pt 0.250 0.500 0.664 1
Pt2 Pt 0.750 0.500 0.336 1

# MoPt | the Alexandria database | SCAN | single point on PBEsol structure
# N(E_F) in states/eV/atom: 0.8909
# Space-group type: R-3m
# Uncorrected energy in Ry per atom: -3.8652
# Energy relative to the elements in eV per atom: -0.050
# Crystal system: trigonal
# Theoretical density in g/cm3: 15.96
data_MoPt
_cell_length_a 9.369
_cell_length_b 9.369
_cell_length_c 9.369
_cell_angle_alpha 16.89
_cell_angle_beta 16.89
_cell_angle_gamma 16.89
_symmetry_space_group_name_H-M 'P 1'
_symmetry_Int_Tables_number 1
_symmetry_space_group_name_Hall 'P 1'
loop_
_atom_site_label
_atom_site_type_symbol
_atom_site_fract_x
_atom_site_fract_y
_atom_site_fract_z
_atom_site_occupancy
Mo1 Mo 0.123 0.123 0.123 1
Mo2 Mo 0.877 0.877 0.877 1
Pt1 Pt 0.377 0.377 0.377 1
Pt2 Pt 0.623 0.623 0.623 1

# MoPt5 | the Alexandria database | SCAN | single point on PBEsol structure
# N(E_F) in states/eV/atom: 0.9551
# Energy above the most stable polymorph in this dataset in eV per atom: 0.068
# Space-group type: Amm2
# Uncorrected energy in Ry per atom: -4.7370
# Energy relative to the elements in eV per atom: -0.142
# Crystal system: orthorhombic
# Theoretical density in g/cm3: 19.77
data_MoPt5
_cell_length_a 4.532
_cell_length_b 7.320
_cell_length_c 7.320
_cell_angle_alpha 21.75
_cell_angle_beta 90.00
_cell_angle_gamma 90.00
_symmetry_space_group_name_H-M 'P 1'
_symmetry_Int_Tables_number 1
_symmetry_space_group_name_Hall 'P 1'
loop_
_atom_site_label
_atom_site_type_symbol
_atom_site_fract_x
_atom_site_fract_y
_atom_site_fract_z
_atom_site_occupancy
Mo1 Mo 0.000 0.000 0.000 1
Pt1 Pt 0.000 0.337 0.337 1
Pt2 Pt 0.000 0.661 0.661 1
Pt3 Pt 0.500 0.106 0.106 1
Pt4 Pt 0.500 0.440 0.440 1
Pt5 Pt 0.500 0.773 0.773 1

Q: The lowest energy relative to the elements belongs to which entry?
A: number 8

Q: The highest N(E_F) belongs to which entry?
A: number 6